No. 1
Density functional theory data (PBE-GGA) for CsKSN2 after structural relaxation.

Computed properties:
Its uncorrected formation energy is 1396 meV per atom. Its crystal system is tetragonal. The value obtained for the spin magnetization is 6.0 μB per formula unit. The volume is 35.37 A^3/atom. The mass density comes out at 2.179 g/cm³.

a b c (Å): 5.4085 5.4085 6.0449
angles (deg): 90.00 90.00 90.00
Closest atoms and distances in Å follow each position.
Fractional coordinates of all 5 atoms:
S: 0.0000 0.0000 0.5000  2 K 3.02
N: 0.5000 0.0000 0.0000  2 K 2.70
Cs: 0.5000 0.5000 0.5000  4 S 3.82, 8 N 4.06
K: 0.0000 0.0000 0.0000  4 N 2.70, 2 S 3.02
N: 0.0000 0.5000 0.0000  2 K 2.70

***

No. 2
Density functional theory data (PBE-GGA) for CsKSe2N after structural relaxation.

Computed properties:
Its uncorrected formation energy is 673 meV per atom. Its crystal system is tetragonal. The value obtained for the spin magnetization is 5.0 μB per formula unit. The volume is 42.25 A^3/atom. The mass density comes out at 2.704 g/cm³.

a b c (Å): 6.2077 6.2077 5.4813
angles (deg): 90.00 90.00 90.00
Closest atoms and distances in Å follow each position.
Fractional coordinates of all 5 atoms:
Se: 0.0000 0.5000 0.0000  2 K 3.10
N: 0.0000 0.0000 0.5000  2 K 2.74
Cs: 0.5000 0.5000 0.5000  8 Se 4.14, 4 N 4.39
K: 0.0000 0.0000 0.0000  2 N 2.74
Se: 0.5000 0.0000 0.0000  2 K 3.10